No. 1
## FePBr2 (GGA-PBEsol)

Data for crystalline FePBr2 at its relaxed geometry.

Cell: 3.218 3.218 7.961 Å, 90.00 90.00 90.00°
Element x y z (fractional)
Fe1 0.000 0.000 0.000
P1 0.500 0.500 0.928
Br1 0.000 0.000 0.289
Br2 0.500 0.500 0.650

E above lowest polymorph	0.00	eV per formula unit

=====

No. 2
## SrCa2BH (GGA-PBEsol)

Data for crystalline SrCa2BH at its relaxed geometry.

Cell: 6.533 6.533 4.483 Å, 90.00 90.00 90.00°
Element x y z (fractional)
Sr1 0.000 0.000 0.000
Ca1 0.000 0.500 0.000
Ca2 0.500 0.000 0.000
B1 0.000 0.000 0.500
H1 0.500 0.500 0.500

total DFT energy (no corrections)	-8.4	eV/cell

=====

No. 3
## EuTiO3 (GGA-PBEsol)

Data for crystalline EuTiO3 at its relaxed geometry.

Cell: 3.883 3.883 3.883 Å, 90.00 90.00 90.00°
Element x y z (fractional)
Eu1 0.000 0.000 0.000
Ti1 0.500 0.500 0.500
O1 0.000 0.500 0.500
O2 0.500 0.000 0.500
O3 0.500 0.500 0.000

total DFT energy (no corrections)	-50.7	eV/cell

=====

No. 4
## YZn2Ir (GGA-PBEsol)

Data for crystalline YZn2Ir at its relaxed geometry.

Cell: 4.607 4.607 6.401 Å, 90.00 90.00 90.00°
Element x y z (fractional)
Y1 0.000 0.000 0.000
Y2 0.500 0.500 0.500
Zn1 0.000 0.000 0.500
Zn2 0.000 0.500 0.250
Zn3 0.500 0.000 0.750
Zn4 0.500 0.500 0.000
Ir1 0.000 0.500 0.750
Ir2 0.500 0.000 0.250

formation energy from the elements	-28.38	kJ/mol of atoms

=====

So what do the calculations give for size of the total moment? Going down the list: 2.57 0.00 6.85 0.00 μB/cell.